! SrAgSn, optimized geometry, DFT PBE; values from VASP
! E_tot: -9.55 eV per cell
! Calculated volume: 30.1 Å³/atom
! Space group: F-43m
&SYSTEM
  ibrav = 0, nat = 3, ntyp = 3
/
ATOMIC_SPECIES
Sr 87.62 Sr.upf
Ag 107.87 Ag.upf
Sn 118.71 Sn.upf
CELL_PARAMETERS angstrom
0.000 3.560 3.560
3.560 0.000 3.560
3.560 3.560 0.000
ATOMIC_POSITIONS crystal
Sr 0.000 0.000 0.000
Ag 0.750 0.750 0.750
Sn 0.500 0.500 0.500

***

! SrAgSn2, optimized geometry, DFT PBE; values from VASP
! E_tot: -13.38 eV per cell
! Calculated volume: 27.3 Å³/atom
! Space group: F-43m
&SYSTEM
  ibrav = 0, nat = 4, ntyp = 3
/
ATOMIC_SPECIES
Sr 87.62 Sr.upf
Ag 107.87 Ag.upf
Sn 118.71 Sn.upf
CELL_PARAMETERS angstrom
0.000 3.794 3.794
3.794 0.000 3.794
3.794 3.794 0.000
ATOMIC_POSITIONS crystal
Sr 0.000 0.000 0.000
Ag 0.250 0.250 0.250
Sn 0.500 0.500 0.500
Sn 0.750 0.750 0.750

***

! SrAgSn, optimized geometry, DFT PBE; values from VASP
! E_tot: -10.07 eV per cell
! Calculated volume: 27.6 Å³/atom
! Space group: P-6m2
&SYSTEM
  ibrav = 0, nat = 3, ntyp = 3
/
ATOMIC_SPECIES
Sr 87.62 Sr.upf
Ag 107.87 Ag.upf
Sn 118.71 Sn.upf
CELL_PARAMETERS angstrom
4.964 0.000 0.000
-2.482 4.299 0.000
0.000 0.000 3.885
ATOMIC_POSITIONS crystal
Sr 0.000 0.000 0.000
Ag 0.667 0.333 0.500
Sn 0.333 0.667 0.500

***

! SrAg2Sn2, optimized geometry, DFT PBE; values from VASP
! E_tot: -34.22 eV per cell
! Calculated volume: 25.8 Å³/atom
! Space group: P4/nmm
&SYSTEM
  ibrav = 0, nat = 10, ntyp = 3
/
ATOMIC_SPECIES
Sr 87.62 Sr.upf
Ag 107.87 Ag.upf
Sn 118.71 Sn.upf
CELL_PARAMETERS angstrom
4.715 0.000 0.000
0.000 4.715 0.000
0.000 0.000 11.609
ATOMIC_POSITIONS crystal
Sr 0.250 0.250 0.241
Sr 0.750 0.750 0.759
Ag 0.250 0.250 0.638
Ag 0.250 0.750 0.000
Ag 0.750 0.250 0.000
Ag 0.750 0.750 0.362
Sn 0.250 0.250 0.870
Sn 0.250 0.750 0.500
Sn 0.750 0.250 0.500
Sn 0.750 0.750 0.130

***

! SrAgSn, optimized geometry, DFT PBE; values from VASP
! E_tot: -7.95 eV per cell
! Calculated volume: 34.5 Å³/atom
! Space group: F-43m
&SYSTEM
  ibrav = 0, nat = 3, ntyp = 3
/
ATOMIC_SPECIES
Sr 87.62 Sr.upf
Ag 107.87 Ag.upf
Sn 118.71 Sn.upf
CELL_PARAMETERS angstrom
0.000 3.725 3.725
3.725 0.000 3.725
3.725 3.725 0.000
ATOMIC_POSITIONS crystal
Sr 0.000 0.000 0.000
Ag 0.750 0.750 0.750
Sn 0.250 0.250 0.250

***

! SrZnAgSn2, optimized geometry, DFT PBE; values from VASP
! E_tot: -15.55 eV per cell
! Calculated volume: 25.8 Å³/atom
! Space group: I-4m2
&SYSTEM
  ibrav = 0, nat = 5, ntyp = 4
/
ATOMIC_SPECIES
Sr 87.62 Sr.upf
Zn 65.41 Zn.upf
Ag 107.87 Ag.upf
Sn 118.71 Sn.upf
CELL_PARAMETERS angstrom
-2.328 2.328 5.950
2.328 -2.328 5.950
2.328 2.328 -5.950
ATOMIC_POSITIONS crystal
Sr 0.000 0.000 0.000
Zn 0.250 0.750 0.500
Ag 0.750 0.250 0.500
Sn 0.380 0.380 0.000
Sn 0.620 0.620 0.000

***

! Ta2AgSn2, optimized geometry, DFT PBE; values from VASP
! E_tot: -31.12 eV per cell
! Calculated volume: 21.9 Å³/atom
! Space group: I4/mmm
! Spin magnetization: 0.00 μB per formula unit
&SYSTEM
  ibrav = 0, nat = 5, ntyp = 3
/
ATOMIC_SPECIES
Ta 180.95 Ta.upf
Ag 107.87 Ag.upf
Sn 118.71 Sn.upf
CELL_PARAMETERS angstrom
-2.052 2.052 6.515
2.052 -2.052 6.515
2.052 2.052 -6.515
ATOMIC_POSITIONS crystal
Ta 0.095 0.095 0.000
Ta 0.905 0.905 0.000
Ag 0.500 0.500 0.000
Sn 0.250 0.750 0.500
Sn 0.750 0.250 0.500

***

! Tb3Ag4Sn4, optimized geometry, DFT PBE; values from VASP
! E_tot: -46.74 eV per cell
! Calculated volume: 23.5 Å³/atom
! Space group: Immm
! Spin magnetization: 0.00 μB per formula unit
&SYSTEM
  ibrav = 0, nat = 11, ntyp = 3
/
ATOMIC_SPECIES
Tb 158.93 Tb.upf
Ag 107.87 Ag.upf
Sn 118.71 Sn.upf
CELL_PARAMETERS angstrom
-2.290 3.678 7.664
2.290 -3.678 7.664
2.290 3.678 -7.664
ATOMIC_POSITIONS crystal
Tb 0.000 0.000 0.000
Tb 0.372 0.872 0.500
Tb 0.628 0.128 0.500
Ag 0.027 0.329 0.698
Ag 0.369 0.671 0.698
Ag 0.631 0.329 0.302
Ag 0.973 0.671 0.302
Sn 0.215 0.215 0.000
Sn 0.304 0.500 0.804
Sn 0.696 0.500 0.196
Sn 0.785 0.785 0.000